Material: Tb5Sm4Tm
Method: DFT, PBE
State: relaxed

The structure in POSCAR format:
```
Tb5Sm4Tm
1.0
3.467 0.000 -0.703
-0.107 11.084 -0.534
-0.017 0.441 8.787
Tb Sm Tm
5 4 1
Cartesian
0.537 6.303 2.639 Tb
0.493 10.656 2.416 Tb
2.850 0.869 5.134 Tb
1.680 5.542 -0.618 Tb
2.807 5.223 4.911 Tb
2.234 2.911 2.114 Sm
3.324 3.174 7.457 Sm
1.109 8.615 5.436 Sm
0.019 8.352 0.093 Sm
1.733 0.000 -0.351 Tm
```

Calculated values
SG	C2/m (12)
E above lowest polymorph	0.00	eV per formula unit
final energy	-44.7	eV for the cell shown
DOS(E_F)	13.396	states/eV/cell
ΔH_f (0 K)	0.182	eV per atom